Entry 1:
An optimized crystal structure of Ba5Al3, computed with GGA-PBEsol.

Values from the calculation:
The calculated density is 4.3 g/cm3. The space group is Cmmm (65). For the final energy, the calculation gives -2.8452 eV per atom.

a = 8.7024 Å, b = 11.7578 Å, c = 5.8315 Å
α = 90.00°, β = 90.00°, γ = 90.00°
Element x y z (fractional)
Ba: 0.0000 0.0000 0.0000
Ba: 0.2086 0.5000 0.5000
Ba: 0.2500 0.2500 0.0000
Ba: 0.2500 0.7500 0.0000
Ba: 0.2914 0.0000 0.5000
Ba: 0.5000 0.5000 0.0000
Ba: 0.7086 0.0000 0.5000
Ba: 0.7500 0.2500 0.0000
Ba: 0.7500 0.7500 0.0000
Ba: 0.7914 0.5000 0.5000
Al: 0.0000 0.2241 0.5000
Al: 0.0000 0.5000 0.0000
Al: 0.0000 0.7759 0.5000
Al: 0.5000 0.0000 0.0000
Al: 0.5000 0.2759 0.5000
Al: 0.5000 0.7241 0.5000


Entry 2:
An optimized crystal structure of BaBe2Al, computed with GGA-PBEsol.

Values from the calculation:
The calculated density is 3.6 g/cm3. The space group is R-3m (166). For the final energy, the calculation gives -3.4486 eV per atom.

a = 4.0408 Å, b = 4.0408 Å, c = 17.6041 Å
α = 90.00°, β = 90.00°, γ = 120.00°
Element x y z (fractional)
Ba: 0.0000 0.0000 0.0000
Ba: 0.3333 0.6667 0.6667
Ba: 0.6667 0.3333 0.3333
Be: 0.0000 0.0000 0.1811
Be: 0.0000 0.0000 0.8189
Be: 0.3333 0.6667 0.4855
Be: 0.3333 0.6667 0.8478
Be: 0.6667 0.3333 0.1522
Be: 0.6667 0.3333 0.5145
Al: 0.0000 0.0000 0.5000
Al: 0.3333 0.6667 0.1667
Al: 0.6667 0.3333 0.8333


Entry 3:
An optimized crystal structure of BaBeAl2, computed with GGA-PBEsol.

Values from the calculation:
The calculated density is 3.8 g/cm3. The space group is Immm (71). For the final energy, the calculation gives -3.2083 eV per atom.

a = 3.0369 Å, b = 5.5706 Å, c = 10.2501 Å
α = 90.00°, β = 90.00°, γ = 90.00°
Element x y z (fractional)
Ba: 0.0000 0.0000 0.0000
Ba: 0.5000 0.5000 0.5000
Be: 0.0000 0.0000 0.5000
Be: 0.5000 0.5000 0.0000
Al: 0.0000 0.5000 0.1969
Al: 0.0000 0.5000 0.8031
Al: 0.5000 0.0000 0.3031
Al: 0.5000 0.0000 0.6969


Entry 4:
An optimized crystal structure of BaBe2Al, computed with GGA-PBEsol.

Values from the calculation:
The calculated density is 3.2 g/cm3. The space group is Pmmm (47). For the final energy, the calculation gives -3.2364 eV per atom.

a = 4.1988 Å, b = 4.2045 Å, c = 5.3228 Å
α = 90.00°, β = 90.00°, γ = 90.00°
Element x y z (fractional)
Ba: 0.0000 0.0000 0.0000
Be: 0.5000 0.2525 0.5000
Be: 0.5000 0.7475 0.5000
Al: 0.0000 0.5000 0.5000


Which formula does entry 3 have?
BaBeAl2


calculated density of number 4 (BaBe2Al)?
3.2 g/cm3


Which value of calculated density does entry 4 give?
3.2 g/cm3


Among the records above, which one has the highest final energy?
Ba5Al3